# YTl3Br (GGA-PBE, relaxed)
data_YTl3Br
_chemical_formula_sum 'Y1 Tl3 Br1'
_space_group_name_H-M_alt 'P m -3 m'
_space_group_IT_number 221
_space_group_name_Hall '-P 4 2 3'
_cell_length_a 5.821
_cell_length_b 5.821
_cell_length_c 5.821
_cell_angle_alpha 90.00
_cell_angle_beta 90.00
_cell_angle_gamma 90.00
loop_
_atom_site_label
_atom_site_type_symbol
_atom_site_fract_x
_atom_site_fract_y
_atom_site_fract_z
_atom_site_occupancy
Y1 Y 0.000 0.000 0.000 1
Tl1 Tl 0.000 0.500 0.500 1
Br1 Br 0.500 0.500 0.500 1
# **Energy relative to the elements, uncorrected**: 0.26 eV/atom
# **Excess energy over the best structure of this formula in the dataset**: 0.0 meV/atom
# **Magnetic moment**: 0.0 Bohr magnetons per cell
# **Fermi-level density of states**: 3.213 states/eV/cell
# **Raw total energy**: -0.102 Ha/atom

# Y2ScAl (GGA-PBE, relaxed)
data_Y2ScAl
_chemical_formula_sum 'Y2 Sc1 Al1'
_space_group_name_H-M_alt 'P m m 2'
_space_group_IT_number 25
_space_group_name_Hall 'P 2 -2'
_cell_length_a 3.425
_cell_length_b 4.478
_cell_length_c 6.692
_cell_angle_alpha 90.00
_cell_angle_beta 90.00
_cell_angle_gamma 90.00
loop_
_atom_site_label
_atom_site_type_symbol
_atom_site_fract_x
_atom_site_fract_y
_atom_site_fract_z
_atom_site_occupancy
Y1 Y 0.000 0.000 0.000 1
Y2 Y 0.500 0.500 0.283 1
Sc1 Sc 0.500 0.500 0.744 1
Al1 Al 0.000 0.000 0.522 1
# **Magnetic moment**: 0.0 Bohr magnetons per cell
# **Fermi-level density of states**: 5.736 states/eV/cell
# **Raw total energy**: -0.215 Ha/atom

# Ga5Sn12Au3 (GGA-PBE, relaxed)
data_Ga5Sn12Au3
_chemical_formula_sum 'Ga40 Sn96 Au24'
_space_group_name_H-M_alt 'I a -3 d'
_space_group_IT_number 230
_space_group_name_Hall '-I 4bd 2c 3'
_cell_length_a 16.430
_cell_length_b 16.430
_cell_length_c 16.430
_cell_angle_alpha 90.00
_cell_angle_beta 90.00
_cell_angle_gamma 90.00
loop_
_atom_site_label
_atom_site_type_symbol
_atom_site_fract_x
_atom_site_fract_y
_atom_site_fract_z
_atom_site_occupancy
Ga1 Ga 0.000 0.000 0.000 1
Ga2 Ga 0.000 0.250 0.375 1
Sn1 Sn 0.021 0.081 0.649 1
Au1 Au 0.000 0.250 0.125 1
# **Magnetic moment**: 0.0 Bohr magnetons per cell
# **Fermi-level density of states**: 87.007 states/eV/cell
# **Raw total energy**: -0.132 Ha/atom

Please write out number 1 again, unchanged.
# YTl3Br (GGA-PBE, relaxed)
data_YTl3Br
_chemical_formula_sum 'Y1 Tl3 Br1'
_space_group_name_H-M_alt 'P m -3 m'
_space_group_IT_number 221
_space_group_name_Hall '-P 4 2 3'
_cell_length_a 5.821
_cell_length_b 5.821
_cell_length_c 5.821
_cell_angle_alpha 90.00
_cell_angle_beta 90.00
_cell_angle_gamma 90.00
loop_
_atom_site_label
_atom_site_type_symbol
_atom_site_fract_x
_atom_site_fract_y
_atom_site_fract_z
_atom_site_occupancy
Y1 Y 0.000 0.000 0.000 1
Tl1 Tl 0.000 0.500 0.500 1
Br1 Br 0.500 0.500 0.500 1
# **Energy relative to the elements, uncorrected**: 0.26 eV/atom
# **Excess energy over the best structure of this formula in the dataset**: 0.0 meV/atom
# **Magnetic moment**: 0.0 Bohr magnetons per cell
# **Fermi-level density of states**: 3.213 states/eV/cell
# **Raw total energy**: -0.102 Ha/atom

Q: Among the records above, which one has the highest raw total energy?
A: YTl3Br

Q: Among the records above, which one has the highest raw total energy?
A: YTl3Br

Q: Number 1 is which compound?
A: YTl3Br